This record from Alexandria via LeMat-Bulk describes a relaxed structure of In2MoW. The functional is GGA-PBE.

Unit cell a=10.292 b=2.895 c=5.124 alpha=90.00 beta=101.59 gamma=90.00
Space group Cm (No. 8)
Asymmetric unit:
In  0.000  0.000  0.000 (multiplicity 2)
In  0.229  0.000  0.711 (multiplicity 2)
Mo  0.252  0.500  0.227 (multiplicity 2)
W  0.476  0.000  0.484 (multiplicity 2)

Output
E_form = 0.565 eV per atom
relative energy among the computed polymorphs = 0.2676 eV per atom
DOS at the Fermi energy = 0.64 states/eV per atom
final energy = -6.75 eV/atom